Record 1
Here is a crystal of Sr4NbCoO8 relaxed with PBEsol from Alexandria. Energies are from meta-GGA SCAN.

For the uncorrected formation energy, the calculation gives -39.924 eV per formula unit. The calculation puts the density at 5.64 g cm⁻³. The volume is 13.250 A^3/atom. Its magnetic moment is 0.03 μB/f.u.

a b c (Å): 5.427 12.643 5.407
angles (deg): 90.00 90.00 90.00
Space group Cmmm (No. 65)
Symmetry-distinct sites (fractional):
Sr  0.000  0.144  0.000 x4
Sr  0.000  0.351  0.500 x4
Nb  0.000  0.500  0.000 x2
Co  0.000  0.000  0.500 x2
O  0.000  0.158  0.500 x4
O  0.000  0.338  0.000 x4
O  0.244  0.000  0.257 x8

---

Record 2
Here is a crystal of Sr2NbCoO6 relaxed with PBEsol from Alexandria. Energies are from meta-GGA SCAN.

For the uncorrected formation energy, the calculation gives -27.530 eV per formula unit. The calculation puts the density at 6.04 g cm⁻³. The volume is 11.629 A^3/atom. Its magnetic moment is 0.00 μB/f.u.

a b c (Å): 7.748 7.748 7.748
angles (deg): 90.00 90.00 90.00
Space group Fm-3m (No. 225)
Symmetry-distinct sites (fractional):
Sr  0.250  0.250  0.250 x8
Nb  0.000  0.000  0.000 x4
Co  0.000  0.000  0.500 x4
O  0.000  0.000  0.257 x24

---

Record 3
Here is a crystal of YNbCoO2 relaxed with PBEsol from Alexandria. Energies are from meta-GGA SCAN.

For the uncorrected formation energy, the calculation gives -6.973 eV per formula unit. The calculation puts the density at 6.13 g cm⁻³. The volume is 14.774 A^3/atom. Its magnetic moment is 0.00 μB/f.u.

a b c (Å): 3.987 3.987 4.647
angles (deg): 90.00 90.00 90.00
Space group P4/mmm (No. 123)
Symmetry-distinct sites (fractional):
Y  0.000  0.000  0.000 x1
Nb  0.500  0.500  0.500 x1
Co  0.500  0.500  0.000 x1
O  0.000  0.500  0.500 x2